(1)
A geometry-optimized NaSiS2 structure, computed with PBE.

Geometry as POSCAR:
```
NaSiS2
1.0
6.292 0.000 0.000
0.000 4.259 0.000
-0.729 0.000 7.330
Na Si S
2 2 4
Direct
0.000 0.000 0.000
0.000 0.500 0.500
0.359 0.000 0.321
0.641 0.000 0.679
0.269 0.500 0.214
0.290 0.000 0.614
0.710 0.000 0.386
0.731 0.500 0.786
```

crystal system = monoclinic

(2)
A geometry-optimized Na2SiS structure, computed with PBE.

Geometry as POSCAR:
```
Na2SiS
1.0
8.096 0.000 0.000
0.000 8.096 0.000
0.000 0.000 5.379
Na Si S
8 4 4
Direct
0.201 0.250 0.125
0.250 0.701 0.375
0.250 0.799 0.875
0.299 0.250 0.625
0.701 0.750 0.625
0.750 0.201 0.875
0.750 0.299 0.375
0.799 0.750 0.125
0.000 0.000 0.500
0.000 0.500 0.750
0.500 0.000 0.250
0.500 0.500 0.000
0.000 0.000 0.000
0.000 0.500 0.250
0.500 0.000 0.750
0.500 0.500 0.500
```

crystal system = tetragonal
relative energy among the computed polymorphs = 0 kJ/mol of formula units

(3)
A geometry-optimized NaSiS structure, computed with PBE.

Geometry as POSCAR:
```
NaSiS
1.0
3.652 0.000 0.000
0.000 3.652 0.000
0.000 0.000 5.561
Na Si S
1 1 1
Direct
0.000 0.000 0.000
0.500 0.500 0.430
0.500 0.500 0.799
```

crystal system = tetragonal
relative energy among the computed polymorphs = 140 kJ/mol of formula units

(4)
A geometry-optimized NaSiS structure, computed with PBE.

Geometry as POSCAR:
```
NaSiS
1.0
3.393 0.000 0.000
-1.697 2.939 0.000
0.000 0.000 17.603
Na Si S
3 3 3
Direct
0.000 0.000 0.000
0.333 0.667 0.667
0.667 0.333 0.333
0.000 0.000 0.799
0.333 0.667 0.466
0.667 0.333 0.132
0.000 0.000 0.212
0.333 0.667 0.879
0.667 0.333 0.545
```

crystal system = trigonal
relative energy among the computed polymorphs = 145 kJ/mol of formula units

(5)
A geometry-optimized Na2SiS structure, computed with PBE.

Geometry as POSCAR:
```
Na2SiS
1.0
6.943 0.000 0.000
0.000 6.943 0.000
0.000 0.000 6.943
Na Si S
8 4 4
Direct
0.250 0.250 0.250
0.250 0.250 0.750
0.250 0.750 0.250
0.250 0.750 0.750
0.750 0.250 0.250
0.750 0.250 0.750
0.750 0.750 0.250
0.750 0.750 0.750
0.000 0.000 0.000
0.000 0.500 0.500
0.500 0.000 0.500
0.500 0.500 0.000
0.000 0.000 0.500
0.000 0.500 0.000
0.500 0.000 0.000
0.500 0.500 0.500
```

crystal system = cubic
relative energy among the computed polymorphs = 48 kJ/mol of formula units

(6)
A geometry-optimized NaSiS3 structure, computed with PBE.

Geometry as POSCAR:
```
NaSiS3
1.0
1.611 -10.705 0.000
1.611 10.705 0.000
0.000 0.000 7.511
Na Si S
2 2 6
Direct
0.103 0.897 0.750
0.897 0.103 0.250
0.399 0.601 0.750
0.601 0.399 0.250
0.034 0.966 0.250
0.342 0.658 0.521
0.342 0.658 0.979
0.658 0.342 0.021
0.658 0.342 0.479
0.966 0.034 0.750
```

crystal system = orthorhombic
relative energy among the computed polymorphs = 0 kJ/mol of formula units

(7)
A geometry-optimized NaSiS3 structure, computed with PBE.

Geometry as POSCAR:
```
NaSiS3
1.0
4.603 0.000 0.000
0.000 4.603 0.000
0.000 0.000 4.603
Na Si S
1 1 3
Direct
0.000 0.000 0.000
0.500 0.500 0.500
0.000 0.500 0.500
0.500 0.000 0.500
0.500 0.500 0.000
```

crystal system = cubic
relative energy among the computed polymorphs = 188 kJ/mol of formula units

(8)
A geometry-optimized NaSiS structure, computed with PBE.

Geometry as POSCAR:
```
NaSiS
1.0
3.390 0.000 0.000
-1.695 2.936 0.000
0.000 0.000 17.657
Na Si S
3 3 3
Direct
0.000 0.000 0.000
0.333 0.667 0.667
0.667 0.333 0.333
0.000 0.000 0.465
0.333 0.667 0.132
0.667 0.333 0.799
0.000 0.000 0.212
0.333 0.667 0.878
0.667 0.333 0.545
```

crystal system = trigonal
relative energy among the computed polymorphs = 145 kJ/mol of formula units

(9)
A geometry-optimized Na2SiS4 structure, computed with PBE.

Geometry as POSCAR:
```
Na2SiS4
1.0
6.898 0.000 0.000
0.000 5.150 0.000
-0.980 0.000 10.342
Na Si S
4 2 8
Direct
0.182 0.250 0.410
0.227 0.250 0.954
0.773 0.750 0.046
0.818 0.750 0.590
0.298 0.750 0.725
0.702 0.250 0.275
0.081 0.750 0.850
0.229 0.750 0.530
0.436 0.040 0.203
0.436 0.460 0.203
0.564 0.540 0.797
0.564 0.960 0.797
0.771 0.250 0.470
0.919 0.250 0.150
```

crystal system = monoclinic

(10)
A geometry-optimized NaSiS structure, computed with PBE.

Geometry as POSCAR:
```
NaSiS
1.0
3.276 0.000 0.000
0.000 3.555 0.000
-1.583 0.000 5.434
Na Si S
1 1 1
Direct
0.000 0.000 0.000
0.295 0.500 0.597
0.660 0.500 0.317
```

crystal system = monoclinic
relative energy among the computed polymorphs = 104 kJ/mol of formula units

(11)
A geometry-optimized Na4SiS4 structure, computed with PBE.

Geometry as POSCAR:
```
Na4SiS4
1.0
7.899 0.000 0.000
0.000 7.899 0.000
0.000 0.000 6.416
Na Si S
8 2 8
Direct
0.020 0.250 0.108
0.250 0.020 0.608
0.250 0.480 0.608
0.480 0.250 0.108
0.520 0.750 0.892
0.750 0.520 0.392
0.750 0.980 0.392
0.980 0.750 0.892
0.250 0.750 0.250
0.750 0.250 0.750
0.030 0.750 0.447
0.250 0.530 0.053
0.250 0.970 0.053
0.470 0.750 0.447
0.530 0.250 0.553
0.750 0.030 0.947
0.750 0.470 0.947
0.970 0.250 0.553
```

crystal system = tetragonal

(12)
A geometry-optimized NaSiS structure, computed with PBE.

Geometry as POSCAR:
```
NaSiS
1.0
8.885 0.000 0.000
0.000 3.962 0.000
-2.665 0.000 6.954
Na Si S
4 4 4
Direct
0.150 0.245 0.439
0.150 0.255 0.939
0.850 0.745 0.061
0.850 0.755 0.561
0.457 0.567 0.318
0.457 0.933 0.818
0.543 0.067 0.182
0.543 0.433 0.682
0.208 0.733 0.215
0.208 0.767 0.715
0.792 0.233 0.285
0.792 0.267 0.785
```

crystal system = monoclinic
relative energy among the computed polymorphs = 0 kJ/mol of formula units

(13)
A geometry-optimized Na8SiS6 structure, computed with PBE.

Geometry as POSCAR:
```
Na8SiS6
1.0
8.400 0.000 0.000
0.000 7.617 0.000
0.000 0.000 10.863
Na Si S
16 2 12
Direct
0.000 0.136 0.000
0.000 0.190 0.504
0.174 0.506 0.138
0.184 0.672 0.848
0.193 0.936 0.228
0.307 0.064 0.728
0.316 0.328 0.348
0.326 0.494 0.638
0.500 0.810 0.004
0.500 0.864 0.500
0.674 0.494 0.638
0.684 0.328 0.348
0.693 0.064 0.728
0.807 0.936 0.228
0.816 0.672 0.848
0.826 0.506 0.138
0.000 0.701 0.539
0.500 0.299 0.039
0.000 0.236 0.259
0.000 0.476 0.662
0.000 0.778 0.045
0.000 0.921 0.666
0.211 0.693 0.427
0.289 0.307 0.927
0.500 0.079 0.166
0.500 0.222 0.545
0.500 0.524 0.162
0.500 0.764 0.759
0.711 0.307 0.927
0.789 0.693 0.427
```

crystal system = orthorhombic

(14)
A geometry-optimized NaSiS3 structure, computed with PBE.

Geometry as POSCAR:
```
NaSiS3
1.0
4.879 0.000 0.000
0.000 4.879 0.000
0.000 0.000 4.879
Na Si S
1 1 3
Direct
0.000 0.000 0.000
0.500 0.500 0.500
0.000 0.000 0.500
0.000 0.500 0.000
0.500 0.000 0.000
```

crystal system = cubic
relative energy among the computed polymorphs = 811 kJ/mol of formula units

(15)
A geometry-optimized Na7SiS6 structure, computed with PBE.

Geometry as POSCAR:
```
Na7SiS6
1.0
-3.572 6.522 7.448
3.572 -6.522 7.448
3.572 6.522 -7.448
Na Si S
14 2 12
Direct
0.038 0.224 0.262
0.097 0.507 0.848
0.159 0.007 0.410
0.250 0.250 0.000
0.341 0.751 0.848
0.403 0.251 0.410
0.462 0.724 0.186
0.538 0.276 0.814
0.597 0.749 0.590
0.659 0.249 0.152
0.750 0.750 0.000
0.841 0.993 0.590
0.903 0.493 0.152
0.962 0.776 0.738
0.250 0.750 0.500
0.750 0.250 0.500
0.075 0.852 0.581
0.163 0.905 0.068
0.229 0.648 0.223
0.271 0.494 0.419
0.337 0.405 0.742
0.425 0.006 0.777
0.575 0.994 0.223
0.663 0.595 0.258
0.729 0.506 0.581
0.771 0.352 0.777
0.837 0.095 0.932
0.925 0.148 0.419
```

crystal system = orthorhombic

(16)
A geometry-optimized NaSiS structure, computed with PBE.

Geometry as POSCAR:
```
NaSiS
1.0
3.400 0.000 0.000
0.006 4.426 0.000
0.007 1.038 4.477
Na Si S
1 1 1
Direct
0.000 0.000 0.000
0.504 0.617 0.607
0.004 0.401 0.409
```

crystal system = triclinic
relative energy among the computed polymorphs = 142 kJ/mol of formula units

(17)
A geometry-optimized NaSiS2 structure, computed with PBE.

Geometry as POSCAR:
```
NaSiS2
1.0
6.563 0.000 0.000
0.000 6.563 0.000
0.000 0.000 6.563
Na Si S
4 4 8
Direct
0.000 0.000 0.000
0.000 0.500 0.500
0.500 0.000 0.500
0.500 0.500 0.000
0.000 0.000 0.500
0.000 0.500 0.000
0.500 0.000 0.000
0.500 0.500 0.500
0.250 0.250 0.250
0.250 0.250 0.750
0.250 0.750 0.250
0.250 0.750 0.750
0.750 0.250 0.250
0.750 0.250 0.750
0.750 0.750 0.250
0.750 0.750 0.750
```

crystal system = cubic

(18)
A geometry-optimized NaSmSiS4 structure, computed with PBE.

Geometry as POSCAR:
```
NaSmSiS4
1.0
6.479 0.000 0.000
0.000 6.581 0.000
-2.141 0.000 7.741
Na Sm Si S
2 2 2 8
Direct
0.244 0.250 0.437
0.756 0.750 0.563
0.274 0.250 0.945
0.726 0.750 0.055
0.267 0.750 0.190
0.733 0.250 0.810
0.065 0.750 0.355
0.092 0.750 0.924
0.486 0.000 0.235
0.486 0.500 0.235
0.514 0.000 0.765
0.514 0.500 0.765
0.908 0.250 0.076
0.935 0.250 0.645
```

crystal system = monoclinic

(19)
A geometry-optimized NaSm3SiS7 structure, computed with PBE.

Geometry as POSCAR:
```
NaSm3SiS7
1.0
10.193 0.000 0.000
-5.097 8.828 0.000
0.000 0.000 5.745
Na Sm Si S
2 6 2 14
Direct
0.000 0.000 0.000
0.000 0.000 0.500
0.125 0.764 0.232
0.236 0.361 0.232
0.361 0.125 0.732
0.639 0.875 0.232
0.764 0.639 0.732
0.875 0.236 0.732
0.333 0.667 0.643
0.667 0.333 0.143
0.090 0.830 0.752
0.113 0.522 0.495
0.170 0.260 0.752
0.260 0.090 0.252
0.333 0.667 0.011
0.409 0.887 0.495
0.478 0.591 0.495
0.522 0.409 0.995
0.591 0.113 0.995
0.667 0.333 0.511
0.740 0.910 0.752
0.830 0.740 0.252
0.887 0.478 0.995
0.910 0.170 0.252
```

crystal system = hexagonal

(20)
A geometry-optimized Na2SiSnS4 structure, computed with PBE.

Geometry as POSCAR:
```
Na2SiSnS4
1.0
9.386 0.000 0.000
0.000 7.268 0.000
0.000 0.000 6.000
Na Si Sn S
4 2 2 8
Direct
0.248 0.179 0.000
0.252 0.821 0.500
0.748 0.821 0.500
0.752 0.179 0.000
0.000 0.344 0.554
0.500 0.656 0.054
0.000 0.706 0.007
0.500 0.294 0.507
0.000 0.366 0.915
0.000 0.628 0.440
0.191 0.202 0.470
0.309 0.798 0.970
0.500 0.372 0.940
0.500 0.634 0.415
0.691 0.798 0.970
0.809 0.202 0.470
```

crystal system = orthorhombic

It is found that the uncorrected formation energy values, taken in the order of the records, are -61.8 -3.1 -18.0 -16.1 8.8 -58.2 -20.5 -16.2 -69.8 -29.7 -104.0 -64.5 -99.7 103.9 -91.7 -17.0 1.9 -129.5 -155.6 -81.9 kJ per mole of atoms.